The following is a PBE calculation of an optimized crystal structure of Ho8TcOs2, from the Alexandria database.

a = 5.6909 Å, b = 7.5278 Å, c = 7.5278 Å
α = 112.17°, β = 99.98°, γ = 99.98°
Closest atoms and distances in Å follow each position.
Fractional coordinates of all 11 atoms:
Ho1 0.5816 0.3310 0.0737  2 Os 2.79-2.84
Ho2 0.5816 0.0737 0.3310  2 Os 2.79-2.84
Ho3 0.1827 0.3617 0.3617  1 Tc 2.88, 2 Os 2.96
Ho4 0.9935 0.2182 0.7800  1 Tc 2.78, 2 Os 3.07-3.08
Ho5 0.9935 0.7800 0.2182  1 Tc 2.78, 2 Os 3.07-3.08
Ho6 0.8043 0.6435 0.6435  2 Os 2.94, 1 Tc 2.95
Ho7 0.3945 0.9334 0.6764  2 Os 2.81-2.84
Ho8 0.3945 0.6764 0.9334  2 Os 2.81-2.84
Tc1 0.0819 0.0036 0.0036  4 Ho 2.78-2.95
Os1 0.4957 0.6933 0.3192  8 Ho 2.79-3.08
Os2 0.4957 0.3192 0.6933  8 Ho 2.79-3.08

* spin magnetization: 0.000 μB/f.u.
* energy of formation from the pure elements: -116 meV/atom

The following is a PBE calculation of an optimized crystal structure of Ac2La5Tl, from the Alexandria database.

a = 7.4218 Å, b = 7.4219 Å, c = 7.4325 Å
α = 119.95°, β = 119.96°, γ = 90.00°
Closest atoms and distances in Å follow each position.
Fractional coordinates of all 8 atoms:
Ac1 0.2222 0.7223 0.4443  2 Tl 3.71, 10 La 3.71-3.72
Ac2 0.7221 0.2220 0.4443  10 La 3.71-3.72, 2 Tl 3.71
La1 0.7217 0.2227 0.9444  6 La 3.71-3.72, 2 Tl 3.71-3.72, 4 Ac 3.72
La2 0.2222 0.2222 0.9443  6 La 3.71-3.72, 2 Tl 3.72, 4 Ac 3.72
La3 0.7220 0.7220 0.9441  6 La 3.71-3.72, 2 Tl 3.71-3.72, 4 Ac 3.72
La4 0.2225 0.7215 0.9440  6 La 3.71-3.72, 2 Tl 3.71-3.72, 4 Ac 3.72
La5 0.7222 0.7222 0.4444  4 Ac 3.71, 8 La 3.71-3.72
Tl1 0.2222 0.2222 0.4444  4 Ac 3.71, 8 La 3.71-3.72

* spin magnetization: 0.000 μB/f.u.
* energy of formation from the pure elements: -71 meV/atom
* ΔE to the lowest computed polymorph: 0 meV per atom

The following is a PBE calculation of an optimized crystal structure of Sr2GaSnH, from the Alexandria database.

a = 5.1979 Å, b = 5.1979 Å, c = 4.6191 Å
α = 90.00°, β = 90.00°, γ = 90.00°
Closest atoms and distances in Å follow each position.
Fractional coordinates of all 5 atoms:
Sr1 0.0000 0.5000 0.0000  2 H 2.60
Sr2 0.5000 0.0000 0.0000  2 H 2.60
Sn1 0.5000 0.5000 0.5000  8 Sr 3.48, 4 Ga 3.68
Ga1 0.0000 0.0000 0.5000  2 H 2.31
H1 0.0000 0.0000 0.0000  2 Ga 2.31

* spin magnetization: 0.000 μB/f.u.
* energy: -3.142 eV/atom

The following is a PBE calculation of an optimized crystal structure of Pm2Nd2Th, from the Alexandria database.

a = 3.5689 Å, b = 5.5252 Å, c = 9.0772 Å
α = 107.74°, β = 90.00°, γ = 90.00°
Closest atoms and distances in Å follow each position.
Fractional coordinates of all 5 atoms:
Pm1 0.0000 0.8028 0.6059  4 Pm 3.31-3.57, 1 Th 3.41, 4 Nd 3.67-3.68
Pm2 0.0000 0.1972 0.3941  4 Pm 3.31-3.57, 1 Th 3.41, 4 Nd 3.67-3.68
Nd1 0.5000 0.3976 0.7959  3 Nd 3.53-3.57, 6 Pm 3.67-3.91, 4 Th 3.73
Nd2 0.5000 0.6024 0.2041  3 Nd 3.53-3.57, 6 Pm 3.67-3.91, 4 Th 3.73
Th1 0.0000 0.0000 0.0000  2 Pm 3.41, 2 Th 3.57, 8 Nd 3.73

* spin magnetization: 0.000 μB/f.u.
* energy of formation from the pure elements: 73 meV/atom
* ΔE to the lowest computed polymorph: 51 meV per atom

The following is a PBE calculation of an optimized crystal structure of Be2BCCl, from the Alexandria database.

a = 3.3560 Å, b = 5.1473 Å, c = 3.3560 Å
α = 90.00°, β = 90.00°, γ = 90.00°
Closest atoms and distances in Å follow each position.
Fractional coordinates of all 5 atoms:
Be1 0.0000 0.0000 0.5000  2 C 1.68
Be2 0.5000 0.0000 0.0000  2 C 1.68
C1 0.0000 0.0000 0.0000  4 Be 1.68
B1 0.0000 0.5000 0.0000  4 Cl 2.37, 2 C 2.57
Cl1 0.5000 0.5000 0.5000  4 B 2.37

* spin magnetization: 0.000 μB/f.u.
* E_form (uncorrected): 77 kJ per mole of atoms

The following is a PBE calculation of an optimized crystal structure of PbIOF2, from the Alexandria database.

a = 4.9573 Å, b = 4.9573 Å, c = 4.3174 Å
α = 90.00°, β = 90.00°, γ = 90.00°
Closest atoms and distances in Å follow each position.
Fractional coordinates of all 5 atoms:
Pb1 0.5000 0.5000 0.5000  8 F 3.29, 4 O 3.51
I1 0.0000 0.0000 0.0000  2 O 2.16
O1 0.0000 0.0000 0.5000  2 I 2.16
F1 0.0000 0.5000 0.0000  2 I 2.48
F2 0.5000 0.0000 0.0000  2 I 2.48

* spin magnetization: 0.000 μB/f.u.
* E_form (uncorrected): -56 kJ per mole of atoms
* ΔE to the lowest computed polymorph: 293 meV per atom

The following is a PBE calculation of an optimized crystal structure of Ac4IrRuCl2, from the Alexandria database.

a = 4.3124 Å, b = 7.4595 Å, c = 8.3632 Å
α = 107.42°, β = 90.00°, γ = 90.00°
Closest atoms and distances in Å follow each position.
Fractional coordinates of all 8 atoms:
Ac1 0.5000 0.2378 0.2014  1 Ru 2.94, 2 Ir 2.97
Ac2 0.5000 0.7622 0.7986  1 Ru 2.94, 2 Ir 2.97
Ac3 0.0000 0.2686 0.7974  2 Ru 2.96, 1 Ir 2.99
Ac4 0.0000 0.7314 0.2026  2 Ru 2.96, 1 Ir 2.99
Ir1 0.0000 0.0000 0.0000  6 Ac 2.97-2.99
Ru1 0.5000 0.5000 0.0000  6 Ac 2.94-2.96
Cl1 0.5000 0.0000 0.5000  6 Ac 3.44-3.47
Cl2 0.0000 0.5000 0.5000  6 Ac 3.43

* spin magnetization: 0.000 μB/f.u.
* E_form (uncorrected): -107 kJ per mole of atoms

The following is a PBE calculation of an optimized crystal structure of RbTcSbTe2, from the Alexandria database.

a = 5.5797 Å, b = 5.5797 Å, c = 5.2053 Å
α = 90.00°, β = 90.00°, γ = 90.00°
Closest atoms and distances in Å follow each position.
Fractional coordinates of all 5 atoms:
Sb1 0.0000 0.0000 0.5000  2 Tc 2.60
Te1 0.0000 0.5000 0.0000  2 Tc 2.79
Te2 0.5000 0.0000 0.0000  2 Tc 2.79
Tc1 0.0000 0.0000 0.0000  2 Sb 2.60, 4 Te 2.79
Rb1 0.5000 0.5000 0.5000  8 Te 3.82, 4 Sb 3.95

* spin magnetization: 2.471 μB/f.u.
* E_form (uncorrected): 5 kJ per mole of atoms
* ΔE to the lowest computed polymorph: 0 meV per atom

The following is a PBE calculation of an optimized crystal structure of Mg5ScBi6, from the Alexandria database.

a = 6.4042 Å, b = 9.0718 Å, c = 7.6982 Å
α = 114.58°, β = 99.81°, γ = 114.63°
Closest atoms and distances in Å follow each position.
Fractional coordinates of all 12 atoms:
Sc1 0.0000 0.0000 0.0000  6 Bi 2.97-3.18
Mg1 0.3598 0.8598 0.7196  6 Bi 3.02-3.28
Mg2 0.6900 0.6900 0.3800  6 Bi 2.98-3.13
Mg3 0.0000 0.5000 0.0000  6 Bi 3.04-3.19
Mg4 0.3100 0.3100 0.6200  6 Bi 2.98-3.13
Mg5 0.6402 0.1402 0.2804  6 Bi 3.02-3.28
Bi1 0.1509 0.4232 0.3347  5 Mg 2.98-3.28, 1 Sc 3.18
Bi2 0.1838 0.9115 0.3347  5 Mg 2.98-3.28, 1 Sc 3.18
Bi3 0.4632 0.2732 0.0000  1 Sc 2.97, 5 Mg 3.12-3.19
Bi4 0.5368 0.7268 0.0000  1 Sc 2.97, 5 Mg 3.12-3.19
Bi5 0.8162 0.0885 0.6653  5 Mg 2.98-3.28, 1 Sc 3.18
Bi6 0.8492 0.5768 0.6653  5 Mg 2.98-3.28, 1 Sc 3.18

* spin magnetization: 0.000 μB/f.u.
* energy of formation from the pure elements: -159 meV/atom

The following is a PBE calculation of an optimized crystal structure of Ce2PuTe4, from the Alexandria database.

a = 4.3456 Å, b = 9.3521 Å, c = 16.0351 Å
α = 90.00°, β = 90.00°, γ = 103.43°
Closest atoms and distances in Å follow each position.
Fractional coordinates of all 14 atoms:
Ce1 0.1224 0.2448 0.4509  6 Te 3.18-3.31
Ce2 0.8776 0.7552 0.9509  6 Te 3.18-3.31
Ce3 0.1224 0.2448 0.0491  6 Te 3.18-3.31
Ce4 0.8776 0.7552 0.5491  6 Te 3.18-3.31
Pu1 0.7228 0.4456 0.7500  3 Te 2.95-2.97
Pu2 0.2772 0.5544 0.2500  3 Te 2.95-2.97
Te1 0.6963 0.3925 0.9314  1 Pu 2.95, 2 Ce 3.18
Te2 0.6963 0.3925 0.5686  1 Pu 2.95, 2 Ce 3.18
Te3 0.3037 0.6075 0.0686  1 Pu 2.95, 2 Ce 3.18
Te4 0.3037 0.6075 0.4314  1 Pu 2.95, 2 Ce 3.18
Te5 0.8863 0.7725 0.7500  1 Pu 2.97, 2 Ce 3.22
Te6 0.1137 0.2275 0.2500  1 Pu 2.97, 2 Ce 3.22
Te7 0.5000 0.0000 0.0000  4 Ce 3.21
Te8 0.5000 0.0000 0.5000  4 Ce 3.21

* spin magnetization: 8.005 μB/f.u.
* E_form (uncorrected): -80 kJ per mole of atoms
* ΔE to the lowest computed polymorph: 455 meV per atom

The following is a PBE calculation of an optimized crystal structure of Cd2GeBi, from the Alexandria database.

a = 4.7874 Å, b = 4.7874 Å, c = 5.8512 Å
α = 65.85°, β = 65.85°, γ = 60.00°
Closest atoms and distances in Å follow each position.
Fractional coordinates of all 4 atoms:
Ge1 0.0000 0.0000 0.0000  6 Cd 2.95
Bi1 0.5000 0.5000 0.5000  6 Cd 3.16
Cd1 0.2661 0.2661 0.2016  3 Ge 2.95, 3 Bi 3.16
Cd2 0.7339 0.7339 0.7984  3 Ge 2.95, 3 Bi 3.16

* spin magnetization: 0.000 μB/f.u.
* energy of formation from the pure elements: 203 meV/atom
* ΔE to the lowest computed polymorph: 64 meV per atom

The following is a PBE calculation of an optimized crystal structure of Mg2CdSn, from the Alexandria database.

a = 4.4854 Å, b = 4.4854 Å, c = 10.5520 Å
α = 77.73°, β = 77.73°, γ = 90.00°
Closest atoms and distances in Å follow each position.
Fractional coordinates of all 8 atoms:
Mg1 0.6177 0.1250 0.2500  2 Cd 2.96, 2 Sn 2.99, 4 Mg 3.13-3.22
Mg2 0.1323 0.6250 0.2500  2 Cd 2.96, 2 Sn 2.99, 4 Mg 3.13-3.22
Mg3 0.3750 0.3823 0.7500  2 Cd 2.96, 2 Sn 2.99, 4 Mg 3.13-3.22
Mg4 0.8750 0.8677 0.7500  2 Cd 2.96, 2 Sn 2.99, 4 Mg 3.13-3.22
Sn1 0.0000 0.0000 0.0000  4 Mg 2.99, 4 Cd 3.17
Sn2 0.7500 0.2500 0.5000  4 Mg 2.99, 4 Cd 3.17
Cd1 0.5000 0.5000 0.0000  4 Mg 2.96, 4 Sn 3.17
Cd2 0.2500 0.7500 0.5000  4 Mg 2.96, 4 Sn 3.17

* spin magnetization: 0.000 μB/f.u.
* energy of formation from the pure elements: 49 meV/atom

The following is a PBE calculation of an optimized crystal structure of RbTbPb2, from the Alexandria database.

a = 3.8215 Å, b = 3.8215 Å, c = 11.3409 Å
α = 80.30°, β = 80.30°, γ = 60.00°
Closest atoms and distances in Å follow each position.
Fractional coordinates of all 4 atoms:
Pb1 0.7417 0.7417 0.7750  3 Tb 3.34
Pb2 0.2583 0.2583 0.2250  3 Tb 3.34
Tb1 0.0000 0.0000 0.0000  6 Pb 3.34
Rb1 0.5000 0.5000 0.5000  6 Pb 3.77, 6 Rb 3.82

* spin magnetization: 0.000 μB/f.u.
* energy of formation from the pure elements: -157 meV/atom
* ΔE to the lowest computed polymorph: 146 meV per atom